# 1
Ca5MnSi9Pb9O33: single point on PBEsol structure, SCAN.

Values from the calculation:
magnetization: 5.00 μB per formula unit
E: -1190.444 eV per formula unit
N(E_F): 0.000 states/eV/cell
formation energy from raw total energies: -2.563 eV per atom

abc: 9.7477 9.7477 10.1540
angles: 90.00 90.00 120.00
Closest atoms and distances in Å follow each position.
Space group P-6 (No. 174)
Asymmetric unit:
1 Ca 0.0000 0.0000 0.0000 x1  9 O 2.44-2.71
2 Ca 0.0000 0.0000 0.3384 x2  6 O 2.33-2.42
3 Ca 0.6667 0.3333 0.3230 x2  6 O 2.37-2.56
4 Mn 0.6667 0.3333 0.0000 x1  6 O 2.20
5 Si 0.3125 0.0457 0.1490 x6  4 O 1.61-1.69
6 Si 0.3562 0.2831 0.5000 x3  4 O 1.61-1.65
7 Pb 0.0611 0.6600 0.1740 x6  3 O 2.19-2.33
8 Pb 0.0780 0.4179 0.5000 x3  1 O 2.24
9 O 0.0060 0.8337 0.5000 x3  1 Si 1.61
10 O 0.0418 0.2964 0.0000 x3  2 Si 1.69
11 O 0.0990 0.3620 0.2539 x6  1 Si 1.64
12 O 0.2007 0.1274 0.1706 x6  1 Si 1.66
13 O 0.4261 0.4061 0.3739 x6  1 Si 1.65
14 O 0.4554 0.1871 0.5000 x3  1 Si 1.65
15 O 0.4981 0.1767 0.1494 x6  1 Si 1.61

---

# 2
K3CoSn: single point on PBEsol structure, SCAN.

Values from the calculation:
magnetization: 4.03 μB per formula unit
ΔE_f: 589 meV per atom
E: -75.267 eV per formula unit
N(E_F): 2.888 states/eV/cell

abc: 5.9804 5.9804 5.9804
angles: 90.00 90.00 90.00
Closest atoms and distances in Å follow each position.
Space group Pm-3m (No. 221)
Asymmetric unit:
1 K 0.0000 0.0000 0.5000 x3  2 Co 2.99
2 Co 0.0000 0.0000 0.0000 x1  6 K 2.99
3 Sn 0.5000 0.5000 0.5000 x1  12 K 4.23

---

# 3
BeAl2Ru: single point on PBEsol structure, SCAN.

Values from the calculation:
magnetization: 0.00 μB per formula unit
ΔE_f: -281 meV per atom
E: -55.807 eV per formula unit
N(E_F): 7.688 states/eV/cell

abc: 5.8556 5.8556 5.8556
angles: 90.00 90.00 90.00
Closest atoms and distances in Å follow each position.
Space group F-43m (No. 216)
Asymmetric unit:
1 Be 0.0000 0.0000 0.0000 x4  4 Ru 2.54, 4 Al 2.54
2 Al 0.0000 0.0000 0.5000 x4  4 Ru 2.54, 4 Al 2.54
3 Al 0.2500 0.2500 0.2500 x4  4 Al 2.54, 4 Be 2.54
4 Ru 0.2500 0.2500 0.7500 x4  4 Be 2.54, 4 Al 2.54

---

# 4
Ca2TeW: single point on PBEsol structure, SCAN.

Values from the calculation:
magnetization: 3.21 μB per formula unit
E: -125.312 eV per formula unit
energy relative to the lowest polymorph listed for this composition: 0 meV/atom
N(E_F): 2.213 states/eV/cell
formation energy from raw total energies: 0.238 eV per atom

abc: 3.8530 3.8530 6.6209
angles: 90.00 90.00 90.00
Closest atoms and distances in Å follow each position.
Space group P4/mmm (No. 123)
Asymmetric unit:
1 Ca 0.0000 0.0000 0.2472 x2  4 W 3.18, 4 Te 3.20, 2 Ca 3.27-3.35
2 Te 0.5000 0.5000 0.5000 x1  8 Ca 3.20, 2 W 3.31
3 W 0.5000 0.5000 0.0000 x1  8 Ca 3.18, 2 Te 3.31

---

# 5
Ca2Hg: single point on PBEsol structure, SCAN.

Values from the calculation:
magnetization: 0.18 μB per formula unit
ΔE_f: -465 meV per atom
E: -88.889 eV per formula unit
N(E_F): 9.545 states/eV/cell

abc: 3.7873 17.4100 5.5032
angles: 90.00 90.00 90.00
Closest atoms and distances in Å follow each position.
Space group Cmcm (No. 63)
Asymmetric unit:
1 Ca 0.0000 0.0738 0.2500 x4  6 Hg 3.19-3.34
2 Ca 0.0000 0.2138 0.7500 x4  2 Hg 3.08
3 Hg 0.0000 0.4261 0.2500 x4  8 Ca 3.08-3.34

---

# 6
Rb5Hg19: single point on PBEsol structure, SCAN.

Values from the calculation:
magnetization: 0.00 μB per formula unit
ΔE_f: -277 meV per atom
E: -1405.487 eV per formula unit
N(E_F): 13.872 states/eV/cell

abc: 11.5184 11.5184 10.5454
angles: 90.00 90.00 90.00
Closest atoms and distances in Å follow each position.
Space group I4/m (No. 87)
Asymmetric unit:
1 Rb 0.0000 0.0000 0.0000 x2  16 Hg 3.72-3.92
2 Rb 0.1199 0.6738 0.5000 x8  15 Hg 3.59-4.01
3 Hg 0.0000 0.0000 0.5000 x2  8 Hg 3.14
4 Hg 0.0000 0.5000 0.2500 x4  4 Hg 2.95
5 Hg 0.0781 0.1725 0.2864 x16  6 Hg 2.97-3.14
6 Hg 0.1139 0.7053 0.1387 x16  5 Hg 2.92-3.05

---

# 7
MgAgPt2Rh: single point on PBEsol structure, SCAN.

Values from the calculation:
magnetization: 1.27 μB per formula unit
ΔE_f: 1245 meV per atom
E: -204.275 eV per formula unit
N(E_F): 3.647 states/eV/cell

abc: 4.8104 4.8104 4.7131
angles: 90.00 90.00 90.00
Closest atoms and distances in Å follow each position.
Space group P4/mmm (No. 123)
Asymmetric unit:
1 Mg 0.0000 0.0000 0.0000 x1  8 Pt 3.37, 4 Rh 3.40
2 Ag 0.5000 0.5000 0.5000 x1  2 Rh 2.36, 4 Pt 2.41
3 Pt 0.0000 0.5000 0.5000 x2  2 Ag 2.41
4 Rh 0.5000 0.5000 0.0000 x1  2 Ag 2.36

---

# 8
BaY2: single point on PBEsol structure, SCAN.

Values from the calculation:
magnetization: 0.69 μB per formula unit
ΔE_f: 174 meV per atom
E: -94.713 eV per formula unit
N(E_F): 14.812 states/eV/cell

abc: 3.7012 20.1372 5.8289
angles: 90.00 90.00 90.00
Closest atoms and distances in Å follow each position.
Space group Cmcm (No. 63)
Asymmetric unit:
1 Ba 0.0000 0.2138 0.2500 x4  6 Ba 3.70-3.75, 4 Y 3.72-3.84
2 Y 0.0000 0.0991 0.7500 x4  8 Y 3.47-3.70, 2 Ba 3.72
3 Y 0.0000 0.4536 0.7500 x4  10 Y 3.46-3.70, 2 Ba 3.84

---

# 9
IrRuPt: single point on PBEsol structure, SCAN.

Values from the calculation:
magnetization: 0.00 μB per formula unit
ΔE_f: -17 meV per atom
E: -176.170 eV per formula unit
energy relative to the lowest polymorph listed for this composition: 34 meV/atom
N(E_F): 4.860 states/eV/cell

abc: 2.7086 3.8260 8.1441
angles: 90.00 90.00 90.00
Closest atoms and distances in Å follow each position.
Space group Imm2 (No. 44)
Asymmetric unit:
1 Ir 0.0000 0.0000 0.0000 x2  5 Pt 2.66-2.73, 5 Ru 2.67-2.79, 2 Ir 2.71
2 Ru 0.0000 0.0000 0.3428 x2  5 Ir 2.67-2.79, 5 Pt 2.69-2.72, 2 Ru 2.71
3 Pt 0.0000 0.0000 0.6730 x2  5 Ir 2.66-2.73, 5 Ru 2.69-2.72, 2 Pt 2.71

---

# 10
Tl2PtW: single point on PBEsol structure, SCAN.

Values from the calculation:
magnetization: 0.00 μB per formula unit
ΔE_f: 561 meV per atom
E: -282.355 eV per formula unit
energy relative to the lowest polymorph listed for this composition: 0 meV/atom
N(E_F): 2.199 states/eV/cell

abc: 10.7653 2.9439 5.1718
angles: 90.00 112.11 90.00
Closest atoms and distances in Å follow each position.
Space group Cm (No. 8)
Asymmetric unit:
1 Tl 0.0000 0.0000 0.0000 x2  3 Pt 2.87-3.03, 4 W 2.90-3.11, 3 Tl 2.94-3.10
2 Tl 0.2125 0.0000 0.6039 x2  3 W 2.91-2.97, 4 Pt 2.94-3.09, 3 Tl 2.94-3.10
3 Pt 0.2619 0.5000 0.1257 x2  2 W 2.68, 3 Tl 2.87-2.94, 2 Pt 2.94
4 W 0.4574 0.0000 0.4903 x2  2 Pt 2.68, 5 Tl 2.90-2.97, 2 W 2.94

---

# 11
K2OF: single point on PBEsol structure, SCAN.

Values from the calculation:
magnetization: 1.00 μB per formula unit
E: -33.589 eV per formula unit
formation energy from raw total energies: -1.790 eV per atom

abc: 6.8029 6.8029 7.7960
angles: 90.00 90.00 90.00
Closest atoms and distances in Å follow each position.
Space group I-42d (No. 122)
Asymmetric unit:
1 K 0.2363 0.2500 0.1250 x8  2 F 2.53, 2 O 2.66
2 O 0.0000 0.0000 0.5000 x4  4 K 2.66
3 F 0.0000 0.0000 0.0000 x4  4 K 2.53

---

# 12
YAlTc2: single point on PBEsol structure, SCAN.

Values from the calculation:
magnetization: 0.00 μB per formula unit
ΔE_f: -186 meV per atom
E: -106.459 eV per formula unit
N(E_F): 2.927 states/eV/cell

abc: 3.3585 3.3585 6.1711
angles: 90.00 90.00 90.00
Closest atoms and distances in Å follow each position.
Space group P4/mmm (No. 123)
Asymmetric unit:
1 Y 0.0000 0.0000 0.0000 x1  8 Tc 3.05, 2 Al 3.09, 4 Y 3.36
2 Al 0.0000 0.0000 0.5000 x1  8 Tc 2.65
3 Tc 0.5000 0.5000 0.3092 x2  1 Tc 2.36